Computed, not measured: Ag2HgB after structural relaxation at the PBE level of DFT.

Structure (CIF):
```
data_Ag2HgB
_cell_length_a 8.025
_cell_length_b 8.025
_cell_length_c 4.579
_cell_angle_alpha 90.00
_cell_angle_beta 90.00
_cell_angle_gamma 90.00
_symmetry_space_group_name_H-M 'I -4 2 d'
_symmetry_Int_Tables_number 122
_symmetry_space_group_name_Hall 'I -4 2bw'
loop_
_atom_site_label
_atom_site_type_symbol
_atom_site_fract_x
_atom_site_fract_y
_atom_site_fract_z
_atom_site_occupancy
Ag1 Ag 0.130 0.250 0.125 1
Hg1 Hg 0.000 0.000 0.500 1
B1 B 0.000 0.000 0.000 1
```

Calculated values
The energy above the most stable polymorph in this dataset comes out at 0 meV/atom. For the total energy, the calculation gives -2.4947 eV per atom.